# CoAgSe2 | Alexandria | PBE | relaxed
data_CoAgSe2
_space_group_name_H-M_alt 'C 1 2/c 1'
_space_group_IT_number 15
_space_group_name_Hall '-C 2yc'
_cell_length_a 7.955
_cell_length_b 10.322
_cell_length_c 5.525
_cell_angle_alpha 90.00
_cell_angle_beta 131.12
_cell_angle_gamma 90.00
loop_
_atom_site_label
_atom_site_type_symbol
_atom_site_fract_x
_atom_site_fract_y
_atom_site_fract_z
Co1 Co 0.000 0.005 0.250
Ag1 Ag 0.000 0.464 0.250
Se1 Se 0.192 0.139 0.174
# **Energy**: -68.87 eV per cell
# **DOS at the Fermi energy**: 0.695 states/eV/atom